{"formula": "Tm2Sn", "functional": "GGA-PBE", "state": "relaxed", "lattice": [[-4.725, -3.850, -1.119], [-4.531, 1.698, -3.873], [-0.528, -2.730, -5.539]], "species": ["Tm", "Tm", "Tm", "Tm", "Sn", "Sn"], "frac_coords": [[0.125, 0.625, 0.625], [0.625, 0.125, 0.625], [0.625, 0.625, 0.625], [0.625, 0.625, 0.125], [0.250, 0.250, 0.250], [0.000, 0.000, 0.000]]}

***

{"formula": "Gd3Fe7Ni2", "functional": "GGA-PBE", "state": "relaxed", "lattice": [[2.505, 1.446, 8.257], [-2.505, 1.446, 8.257], [0.000, -2.893, 8.257]], "species": ["Fe", "Fe", "Fe", "Fe", "Fe", "Fe", "Fe", "Gd", "Gd", "Gd", "Ni", "Ni"], "frac_coords": [[0.581, 0.581, 0.084], [0.419, 0.419, 0.916], [0.581, 0.084, 0.581], [0.419, 0.916, 0.419], [0.084, 0.581, 0.581], [0.916, 0.419, 0.419], [0.500, 0.500, 0.500], [0.000, 0.000, 0.000], [0.142, 0.142, 0.142], [0.858, 0.858, 0.858], [0.668, 0.668, 0.668], [0.332, 0.332, 0.332]]}

***

{"formula": "TaCdPd", "functional": "GGA-PBE", "state": "relaxed", "lattice": [[0.000, 3.164, 3.164], [3.164, 0.000, 3.164], [3.164, 3.164, 0.000]], "species": ["Ta", "Pd", "Cd"], "frac_coords": [[0.000, 0.000, 0.000], [0.750, 0.750, 0.750], [0.250, 0.250, 0.250]]}

***

{"formula": "SmTlZnSe3", "functional": "GGA-PBE", "state": "relaxed", "lattice": [[-2.243, 1.360, 10.845], [1.715, -3.719, 0.821], [13.138, 6.478, 1.905]], "species": ["Se", "Se", "Se", "Se", "Se", "Se", "Se", "Se", "Se", "Se", "Se", "Se", "Tl", "Tl", "Tl", "Tl", "Sm", "Sm", "Sm", "Sm", "Zn", "Zn", "Zn", "Zn"], "frac_coords": [[0.242, 0.250, 0.316], [0.417, 0.750, 0.115], [0.553, 0.750, 0.374], [0.758, 0.750, 0.684], [0.258, 0.750, 0.816], [0.447, 0.250, 0.626], [0.947, 0.250, 0.874], [0.742, 0.250, 0.184], [0.053, 0.750, 0.126], [0.917, 0.750, 0.385], [0.083, 0.250, 0.615], [0.583, 0.250, 0.885], [0.224, 0.250, 0.001], [0.776, 0.750, 0.999], [0.276, 0.750, 0.501], [0.724, 0.250, 0.499], [0.489, 0.250, 0.242], [0.011, 0.750, 0.742], [0.511, 0.750, 0.758], [0.989, 0.250, 0.258], [0.740, 0.750, 0.286], [0.240, 0.750, 0.214], [0.260, 0.250, 0.714], [0.760, 0.250, 0.786]]}

***

{"formula": "Ba2Lu2O5", "functional": "GGA-PBE", "state": "relaxed", "lattice": [[-1.288, 8.211, -0.706], [-3.772, -0.756, -1.915], [-1.950, 0.023, 3.830]], "species": ["O", "O", "O", "O", "O", "Ba", "Ba", "Lu", "Lu"], "frac_coords": [[0.785, 0.500, 0.000], [0.785, 0.000, 0.500], [0.215, 0.500, 0.000], [0.215, 0.000, 0.500], [0.500, 0.500, 0.500], [0.500, 0.000, 0.000], [0.000, 0.000, 0.000], [0.255, 0.500, 0.500], [0.745, 0.500, 0.500]]}

***

{"formula": "Dy2Ga2CuAu", "functional": "GGA-PBE", "state": "relaxed", "lattice": [[-1.716, -3.009, -2.788], [0.803, -1.095, 4.234], [-6.493, 2.066, 1.766]], "species": ["Dy", "Dy", "Ga", "Ga", "Au", "Cu"], "frac_coords": [[0.333, 0.667, 0.995], [0.333, 0.667, 0.505], [0.667, 0.333, 0.768], [0.667, 0.333, 0.226], [0.000, 0.000, 0.262], [0.000, 0.000, 0.744]]}

***

Total magnetic moment in μB/f.u., matching the order above: 0.02; 14.41; 0.07; 0.00; 0.00; 0.01
Raw total energy in Ry/atom, matching the order above: -0.3147; -0.5169; -0.3919; -0.3135; -0.5365; -0.3204